Entry 1:
4
Lattice="-2.333 -2.451 -3.708 -1.469 -4.753 0.668 -4.885 -1.085 0.393" Properties=species:S:1:pos:R:3 comment="SCAN BaRhSe2, PBEsol geometry" raw_formation_energy_mev_per_atom=-12 spacegroup="F-43m, No. 216" crystal_system=cubic pbc="T T T"
Ba -4.344 -4.145 -1.324
Rh -2.172 -2.072 -0.662
Se 0.000 0.000 0.000
Se -6.516 -6.217 -1.986

***

Entry 2:
5
Lattice="-4.476 -1.682 -2.710 2.963 -3.921 -2.461 -1.180 -3.465 4.100" Properties=species:S:1:pos:R:3 comment="SCAN Hg3SbMo, PBEsol geometry" raw_formation_energy_mev_per_atom=1077 spacegroup="Pm-3m, No. 221" crystal_system=cubic pbc="T T T"
Sb 0.000 0.000 0.000
Mo -1.346 -4.534 -0.536
Hg 1.482 -1.960 -1.230
Hg -0.590 -1.733 2.050
Hg -2.238 -0.841 -1.355

***

Entry 3:
5
Lattice="-1.832 1.301 -3.849 -4.009 -1.264 1.480 -0.776 4.789 1.988" Properties=species:S:1:pos:R:3 comment="SCAN NiAs2HBr, PBEsol geometry" final_energy_ev_per_atom=-15.12 spacegroup="P4/mmm, No. 123" crystal_system=tetragonal pbc="T T T"
Ni 0.000 0.000 0.000
As -2.004 -0.632 0.740
As -0.916 0.650 -1.924
Br -0.388 2.394 0.994
H -3.308 2.413 -0.190

***

Number 1: density 7.39 Mg/m³. Number 2: density 8.20 Mg/m³. Number 3: density 4.62 Mg/m³.